Entry 1:
The following is a DFT calculation (PBE-GGA) of a relaxed structure of MoSe2.

Geometry as POSCAR:
```
MoSe2
1.0
-3.612 -3.923 0.832
-3.872 0.637 3.706
-5.127 0.680 -1.543
Se Mo
4 2
Direct
0.625 0.625 0.625
0.125 0.625 0.625
0.625 0.625 0.125
0.625 0.125 0.625
0.000 0.000 0.000
0.250 0.250 0.250
```

Output
uncorrected energy: -13.543 eV/f.u.
V: 56 Å³/f.u.
mass density: 7.58 Mg/m³

---

Entry 2:
The following is a DFT calculation (PBE-GGA) of a relaxed structure of NaGdGeSe3.

Geometry as POSCAR:
```
NaGdGeSe3
1.0
-6.891 1.765 -0.978
5.362 -4.113 -2.427
-3.093 -8.181 7.030
Ge Gd Se Na
2 2 6 2
Direct
0.972 0.028 0.250
0.028 0.972 0.750
0.500 0.500 0.000
0.500 0.500 0.500
0.863 0.137 0.444
0.137 0.863 0.944
0.583 0.417 0.250
0.417 0.583 0.750
0.137 0.863 0.556
0.863 0.137 0.056
0.246 0.754 0.250
0.754 0.246 0.750
```

Output
uncorrected energy: -27.035 eV/f.u.
V: 169 Å³/f.u.
mass density: 4.81 Mg/m³

---

Entry 3:
The following is a DFT calculation (PBE-GGA) of a relaxed structure of RbBi5Pd3.

Geometry as POSCAR:
```
RbBi5Pd3
1.0
5.849 0.000 0.000
-2.925 5.066 0.000
0.000 0.000 8.796
Pd Bi Rb
3 5 1
Direct
0.500 0.500 0.500
0.500 0.000 0.500
0.000 0.500 0.500
0.667 0.333 0.237
0.333 0.667 0.237
0.667 0.333 0.763
0.000 0.000 0.500
0.333 0.667 0.763
0.000 0.000 0.000
```

Output
uncorrected energy: -39.258 eV/f.u.
V: 261 Å³/f.u.
mass density: 9.24 Mg/m³